# LiCaV PBE relaxed
# electronic total energy = -3.337 eV per atom
# magnetic moment = 4.81 μB/f.u.
# D(E_F) = 21.5 states/eV per cell
# formation enthalpy at 0 K = 1.0078 eV per atom
# calculated volume = 366 Å³/cell
# distance to the lowest polymorph of the same formula = 0.734 eV per atom
data_LiCaV
_cell_length_a 7.151
_cell_length_b 7.151
_cell_length_c 7.151
_cell_angle_alpha 90.00
_cell_angle_beta 90.00
_cell_angle_gamma 90.00
_space_group_name_H-M_alt 'F -4 3 m'
_space_group_IT_number 216
_space_group_name_Hall 'F -4 2 3'
loop_
_atom_site_label
_atom_site_fract_x
_atom_site_fract_y
_atom_site_fract_z
Li1 0.000 0.000 0.000
Ca1 0.000 0.000 0.500
V1 0.250 0.250 0.750

# LiCaV PBE relaxed
# electronic total energy = -3.169 eV per atom
# magnetic moment = 4.87 μB/f.u.
# D(E_F) = 25.5 states/eV per cell
# formation enthalpy at 0 K = 1.1758 eV per atom
# calculated volume = 377 Å³/cell
# distance to the lowest polymorph of the same formula = 0.902 eV per atom
data_LiCaV
_cell_length_a 7.227
_cell_length_b 7.227
_cell_length_c 7.227
_cell_angle_alpha 90.00
_cell_angle_beta 90.00
_cell_angle_gamma 90.00
_space_group_name_H-M_alt 'F -4 3 m'
_space_group_IT_number 216
_space_group_name_Hall 'F -4 2 3'
loop_
_atom_site_label
_atom_site_fract_x
_atom_site_fract_y
_atom_site_fract_z
Li1 0.000 0.000 0.000
Ca1 0.250 0.250 0.250
V1 0.000 0.000 0.500

# LiCaV PBE relaxed
# electronic total energy = -3.623 eV per atom
# magnetic moment = 4.24 μB/f.u.
# D(E_F) = 14.1 states/eV per cell
# formation enthalpy at 0 K = 0.7218 eV per atom
# calculated volume = 299 Å³/cell
# distance to the lowest polymorph of the same formula = 0.448 eV per atom
data_LiCaV
_cell_length_a 5.076
_cell_length_b 8.768
_cell_length_c 6.725
_cell_angle_alpha 90.00
_cell_angle_beta 90.00
_cell_angle_gamma 90.00
_space_group_name_H-M_alt 'C m c m'
_space_group_IT_number 63
_space_group_name_Hall '-C 2c 2'
loop_
_atom_site_label
_atom_site_fract_x
_atom_site_fract_y
_atom_site_fract_z
Li1 0.000 0.167 0.250
Ca1 0.000 0.500 0.000
V1 0.000 0.166 0.750

# LiCaV PBE relaxed
# electronic total energy = -3.590 eV per atom
# magnetic moment = 4.23 μB/f.u.
# D(E_F) = 7.2 states/eV per cell
# formation enthalpy at 0 K = 0.7544 eV per atom
# calculated volume = 154 Å³/cell
# distance to the lowest polymorph of the same formula = 0.481 eV per atom
data_LiCaV
_cell_length_a 5.3324
_cell_length_b 5.3324
_cell_length_c 6.2580
_cell_angle_alpha 90.00
_cell_angle_beta 90.00
_cell_angle_gamma 120.00
_space_group_name_H-M_alt 'P 63/m m c'
_space_group_IT_number 194
_space_group_name_Hall '-P 6c 2c'
loop_
_atom_site_label
_atom_site_fract_x
_atom_site_fract_y
_atom_site_fract_z
Li1 0.0000 0.0000 0.0000
Ca1 0.3333 0.6667 0.2500
V1 0.3333 0.6667 0.7500

# LiCa3V PBE relaxed
# electronic total energy = -2.782 eV per atom
# magnetic moment = 5.01 μB/f.u.
# D(E_F) = 3.9 states/eV per cell
# formation enthalpy at 0 K = 0.6258 eV per atom
# calculated volume = 204 Å³/cell
# distance to the lowest polymorph of the same formula = 0.000 eV per atom
data_LiCa3V
_cell_length_a 5.890
_cell_length_b 5.890
_cell_length_c 5.890
_cell_angle_alpha 90.00
_cell_angle_beta 90.00
_cell_angle_gamma 90.00
_space_group_name_H-M_alt 'P m -3 m'
_space_group_IT_number 221
_space_group_name_Hall '-P 4 2 3'
loop_
_atom_site_label
_atom_site_fract_x
_atom_site_fract_y
_atom_site_fract_z
Li1 0.000 0.000 0.000
Ca1 0.000 0.500 0.500
V1 0.500 0.500 0.500